(1)
Sc3BIr | GGA-PBE | optimized geometry

M_tot in μB per formula unit: 0.00
Energy above the lowest structure with this stoichiometry in kJ per mole of atoms: 70.38
ΔE_f in eV per formula unit: 2.7
Space group: Pm-3m (221)

abc: 4.956 4.956 4.956
angles: 90.00 90.00 90.00
Atoms (fractional coordinates):
Sc 0.000 0.000 0.500
Sc 0.000 0.500 0.000
Sc 0.500 0.000 0.000
B 0.500 0.500 0.500
Ir 0.000 0.000 0.000



(2)
Sc2BIr | GGA-PBE | optimized geometry

M_tot in μB per formula unit: 0.00
ΔE_f in eV per formula unit: -1.4
Space group: I-42d (122)

abc: 6.545 6.545 6.545
angles: 95.35 95.35 144.44
Atoms (fractional coordinates):
Sc 0.375 0.036 0.161
Sc 0.786 0.625 0.661
Sc 0.875 0.214 0.839
Sc 0.964 0.125 0.339
B 0.000 0.000 0.000
B 0.750 0.250 0.500
Ir 0.250 0.750 0.500
Ir 0.500 0.500 0.000



(3)
Sc3B2Ir7 | GGA-PBE | optimized geometry

M_tot in μB per formula unit: 0.00
ΔE_f in eV per formula unit: -8.5
Space group: Cmmm (65)

abc: 10.586 10.586 4.132
angles: 90.00 90.00 157.55
Atoms (fractional coordinates):
Sc 0.000 0.000 0.000
Sc 0.192 0.808 0.000
Sc 0.808 0.192 0.000
B 0.392 0.608 0.500
B 0.608 0.392 0.500
Ir 0.097 0.903 0.500
Ir 0.293 0.707 0.500
Ir 0.407 0.593 0.000
Ir 0.500 0.500 0.500
Ir 0.593 0.407 0.000
Ir 0.707 0.293 0.500
Ir 0.903 0.097 0.500



(4)
ScB2Ir2 | GGA-PBE | optimized geometry

M_tot in μB per formula unit: 0.00
ΔE_f in eV per formula unit: -2.1
Space group: I4/mmm (139)

abc: 5.274 5.274 5.274
angles: 137.57 137.57 61.56
Atoms (fractional coordinates):
Sc 0.000 0.000 0.000
B 0.250 0.750 0.500
B 0.750 0.250 0.500
Ir 0.357 0.357 0.000
Ir 0.643 0.643 0.000



(5)
ScB2Ir2 | GGA-PBE | optimized geometry

M_tot in μB per formula unit: 0.00
ΔE_f in eV per formula unit: -3.4
Space group: P2_1/m (11)

abc: 4.072 3.667 8.453
angles: 90.00 94.04 90.00
Atoms (fractional coordinates):
Sc 0.189 0.250 0.246
Sc 0.811 0.750 0.754
B 0.172 0.750 0.014
B 0.257 0.250 0.636
B 0.743 0.750 0.364
B 0.828 0.250 0.986
Ir 0.254 0.750 0.508
Ir 0.317 0.250 0.897
Ir 0.683 0.750 0.103
Ir 0.746 0.250 0.492



(6)
ScB3Ir6 | GGA-PBE | optimized geometry

M_tot in μB per formula unit: 0.00
ΔE_f in eV per formula unit: -3.2
Space group: R3 (146)

abc: 6.109 6.109 6.109
angles: 52.50 52.50 52.50
Atoms (fractional coordinates):
Sc 0.000 0.000 0.000
B 0.301 0.301 0.301
B 0.633 0.633 0.633
B 0.839 0.839 0.839
Ir 0.063 0.559 0.566
Ir 0.297 0.460 0.877
Ir 0.460 0.877 0.297
Ir 0.559 0.566 0.063
Ir 0.566 0.063 0.559
Ir 0.877 0.297 0.460



(7)
ScB4Ir6 | GGA-PBE | optimized geometry

M_tot in μB per formula unit: 0.00
ΔE_f in eV per formula unit: -3.1
Space group: I-42m (121)

abc: 6.135 6.135 6.135
angles: 128.19 128.19 76.32
Atoms (fractional coordinates):
Sc 0.000 0.000 0.000
B 0.203 0.588 0.000
B 0.412 0.412 0.615
B 0.588 0.203 0.000
B 0.797 0.797 0.385
Ir 0.000 0.500 0.500
Ir 0.118 0.118 0.646
Ir 0.472 0.472 0.354
Ir 0.500 0.000 0.500
Ir 0.528 0.882 0.000
Ir 0.882 0.528 0.000



(8)
ScB2Ir2 | GGA-PBE | optimized geometry

M_tot in μB per formula unit: 0.00
ΔE_f in eV per formula unit: -3.5
Space group: I4/mmm (139)

abc: 5.039 5.039 5.039
angles: 135.33 135.33 65.03
Atoms (fractional coordinates):
Sc 0.000 0.000 0.000
B 0.386 0.386 0.000
B 0.614 0.614 0.000
Ir 0.250 0.750 0.500
Ir 0.750 0.250 0.500